PBE TlMoSe2, relaxed; symmetry = No. 123; DFT total energy = -4.567 eV/atom; uncorrected formation energy = 0.4751 eV per atom; crystal system = tetragonal
1.0
-3.238 3.640 -1.235
-0.931 -2.310 -4.365
-2.541 -1.760 1.474
Mo Se Tl
1 2 1
direct
0.000 0.500 0.500 Mo
0.000 0.000 0.000 Se
0.500 0.500 0.000 Se
0.500 0.000 0.500 Tl